Record 1
The following is a DFT calculation (PBEsol) of crystalline HfSb2Ir at its relaxed geometry.

Computed properties:
raw formation energy	-8	meV/atom
E	-7.3686	eV per atom
DOS(E_F)	1.061	states/eV/atom

```
HfSb2Ir
1.0
4.788 0.000 0.000
2.394 4.147 0.000
2.394 1.382 3.909
Sb Hf Ir
2 1 1
direct
0.250 0.250 0.250
0.750 0.750 0.750
0.000 0.000 0.000
0.500 0.500 0.500
```

***

Record 2
The following is a DFT calculation (PBEsol) of crystalline LiSb2Rh at its relaxed geometry.

Computed properties:
raw formation energy	-236	meV/atom
E	-5.0411	eV per atom
distance to the lowest polymorph of the same formula	116	meV/atom
DOS(E_F)	0.566	states/eV/atom

```
LiSb2Rh
1.0
-1.100 2.704 -1.424
-3.196 0.549 3.511
3.705 2.442 1.777
Sb Rh Li
2 1 1
direct
0.000 0.500 0.000
0.000 0.000 0.500
0.500 0.500 0.500
0.500 0.000 0.000
```